NaDy2ErS4, optimized geometry, DFT PBE-GGA; ΔE_f (raw) = -15.3 eV/f.u.; N(E_F) = 2.53 states/eV per cell
1.0
3.895 0.000 0.000
0.000 6.791 -0.152
0.000 2.366 6.370
Dy S Er Na
2 4 1 1
direct
0.000 0.000 0.000
0.500 0.000 0.500
0.000 0.247 0.256
0.500 0.748 0.253
0.500 0.252 0.747
0.000 0.753 0.744
0.000 0.500 0.500
0.500 0.500 0.000

***

NaDyEr2S4, optimized geometry, DFT PBE-GGA; ΔE_f (raw) = -15.3 eV/f.u.; N(E_F) = 2.51 states/eV per cell
1.0
3.880 0.000 0.000
0.000 6.785 -0.156
0.000 2.359 6.356
Dy Er S Na
1 2 4 1
direct
0.000 0.500 0.500
0.500 0.000 0.500
0.000 0.000 0.000
0.500 0.246 0.751
0.000 0.758 0.744
0.000 0.242 0.256
0.500 0.754 0.249
0.500 0.500 0.000

***

Na2DyErS4, optimized geometry, DFT PBE-GGA; ΔE_f (raw) = -14.8 eV/f.u.; N(E_F) = 0.00 states/eV per cell
1.0
-3.332 1.961 -0.891
-2.283 -0.968 6.407
3.628 6.052 -0.246
Er S Dy Na
1 4 1 2
direct
0.000 0.000 0.000
0.000 0.256 0.774
0.500 0.240 0.225
0.000 0.744 0.226
0.500 0.760 0.775
0.500 0.500 0.000
0.500 0.000 0.500
0.000 0.500 0.500

***

NaDyEr2Se4, optimized geometry, DFT PBE-GGA; ΔE_f (raw) = -13.7 eV/f.u.; N(E_F) = 2.58 states/eV per cell
1.0
-4.044 0.017 -0.024
-0.041 -6.753 2.151
-0.043 -0.154 7.083
Se Er Na Dy
4 2 1 1
direct
0.000 0.753 0.748
0.500 0.243 0.754
0.500 0.757 0.246
0.000 0.247 0.252
0.500 0.000 0.500
0.000 0.000 0.000
0.000 0.500 0.500
0.500 0.500 0.000

***

NaDy2Er3Se6, optimized geometry, DFT PBE-GGA; ΔE_f (raw) = -20.7 eV/f.u.; N(E_F) = 3.65 states/eV per cell
1.0
-3.568 0.454 -1.863
-1.763 -7.858 1.464
-1.413 3.978 8.081
Er Se Dy Na
3 6 2 1
direct
0.835 0.174 0.670
0.165 0.826 0.330
0.500 0.500 0.000
0.331 0.919 0.663
0.999 0.745 0.998
0.001 0.255 0.002
0.336 0.414 0.672
0.669 0.081 0.337
0.664 0.586 0.328
0.170 0.343 0.340
0.830 0.657 0.660
0.500 0.000 0.000

***

Na2DyErSe4, optimized geometry, DFT PBE-GGA; ΔE_f (raw) = -13.6 eV/f.u.; N(E_F) = 0.00 states/eV per cell
1.0
-0.515 2.901 2.893
-7.045 -0.034 -1.221
1.532 -4.977 5.264
Er Se Na Dy
1 4 2 1
direct
0.000 0.000 0.000
0.500 0.759 0.772
0.500 0.241 0.228
0.000 0.745 0.229
0.000 0.255 0.771
0.000 0.500 0.500
0.500 0.000 0.500
0.500 0.500 0.000

***

Na2DyEr3Te6, optimized geometry, DFT PBE-GGA; ΔE_f (raw) = -15.4 eV/f.u.; N(E_F) = 3.67 states/eV per cell
1.0
-1.594 -2.498 -6.952
-3.114 -3.346 6.018
-4.048 6.520 -0.049
Na Te Dy Er
2 6 1 3
direct
0.666 0.334 0.000
0.334 0.666 0.000
0.915 0.585 0.745
0.757 0.757 0.258
0.085 0.415 0.255
0.585 0.915 0.745
0.415 0.085 0.255
0.243 0.243 0.742
0.000 0.000 0.000
0.831 0.169 0.500
0.169 0.831 0.500
0.500 0.500 0.500

***

Na4DyEr3Te8, optimized geometry, DFT PBE-GGA; ΔE_f (raw) = -20.9 eV/f.u.
1.0
-7.818 0.588 4.021
4.140 -0.428 8.112
2.486 6.216 -5.730
Na Te Er Dy
4 8 3 1
direct
0.500 0.000 0.000
0.000 0.000 0.500
0.000 0.000 0.000
0.500 0.000 0.500
0.742 0.731 0.986
0.743 0.730 0.487
0.756 0.269 0.014
0.244 0.731 0.986
0.244 0.731 0.489
0.258 0.269 0.014
0.257 0.270 0.513
0.756 0.269 0.511
0.500 0.500 0.000
0.500 0.500 0.500
0.000 0.500 0.500
0.000 0.500 0.000

***

NaDy2ErTe4, optimized geometry, DFT PBE-GGA; ΔE_f (raw) = -10.3 eV/f.u.; N(E_F) = 3.17 states/eV per cell
1.0
4.336 0.000 0.000
0.000 7.596 0.185
0.000 -2.634 7.138
Te Er Dy Na
4 1 2 1
direct
0.000 0.252 0.752
0.500 0.747 0.749
0.500 0.253 0.251
0.000 0.748 0.248
0.500 0.500 0.000
0.500 0.000 0.500
0.000 0.500 0.500
0.000 0.000 0.000

***

NaDyEr2Te4, optimized geometry, DFT PBE-GGA; ΔE_f (raw) = -10.2 eV/f.u.; N(E_F) = 3.03 states/eV per cell
1.0
-0.896 -3.623 2.187
7.430 -1.249 0.974
-2.574 4.146 5.815
Na Er Te Dy
1 2 4 1
direct
0.000 0.000 0.000
0.000 0.500 0.500
0.500 0.000 0.500
0.000 0.751 0.253
0.000 0.249 0.747
0.500 0.254 0.256
0.500 0.746 0.744
0.500 0.500 0.000

***

Na3Dy2ErTe6, optimized geometry, DFT PBE-GGA; ΔE_f (raw) = -15.7 eV/f.u.
1.0
-6.075 1.847 -4.268
-0.476 -5.717 5.061
-0.062 6.183 5.051
Er Dy Te Na
1 2 6 3
direct
0.000 0.000 0.000
0.334 0.666 0.000
0.666 0.334 0.000
0.077 0.409 0.231
0.409 0.077 0.231
0.254 0.254 0.768
0.591 0.923 0.769
0.923 0.591 0.769
0.746 0.746 0.232
0.832 0.168 0.500
0.500 0.500 0.500
0.168 0.832 0.500

***

NaDy2ErTl4, optimized geometry, DFT PBE-GGA; N(E_F) = 5.01 states/eV per cell; formation enthalpy at 0 K = -0.28 eV per atom
1.0
5.317 0.000 0.000
2.658 4.604 0.000
2.658 1.535 8.796
Dy Tl Er Na
2 4 1 1
direct
0.754 0.754 0.739
0.246 0.246 0.261
0.625 0.625 0.126
0.875 0.875 0.374
0.125 0.125 0.626
0.375 0.375 0.874
0.000 0.000 0.000
0.500 0.500 0.500

***

| no. | density (g/cm³) |
| --- | --- |
| 1 | 6.3 |
| 2 | 6.4 |
| 3 | 4.6 |
| 4 | 7.2 |
| 5 | 7.7 |
| 6 | 5.5 |
| 7 | 6.8 |
| 8 | 5.8 |
| 9 | 7.2 |
| 10 | 7.2 |
| 11 | 5.7 |
| 12 | 10.3 |